Record 1
Here is a crystal of MgAg2Pb relaxed with PBEsol from Alexandria. Energies are from meta-GGA SCAN.

a b c (Å): 5.325 5.325 5.325
angles (deg): 132.66 132.66 69.18
Fractional coordinates of all 4 atoms:
Mg1 0.000 0.000 0.000
Ag1 0.250 0.750 0.500
Ag2 0.500 0.500 0.000
Pb1 0.750 0.250 0.500

Results
The magnetization is 0.0 Bohr magnetons per cell. Its space group is I-4m2, No. 119. For the total energy, the calculation gives -35.91 eV/atom.



Record 2
Here is a crystal of Mg2Ag2Pb relaxed with PBEsol from Alexandria. Energies are from meta-GGA SCAN.

a b c (Å): 7.873 7.873 3.301
angles (deg): 90.00 90.00 90.00
Fractional coordinates of all 10 atoms:
Mg1 0.166 0.334 0.000
Mg2 0.334 0.834 0.000
Mg3 0.666 0.166 0.000
Mg4 0.834 0.666 0.000
Ag1 0.127 0.627 0.500
Ag2 0.373 0.127 0.500
Ag3 0.627 0.873 0.500
Ag4 0.873 0.373 0.500
Pb1 0.000 0.000 0.500
Pb2 0.500 0.500 0.500

Results
The magnetization is 0.0 Bohr magnetons per cell. Its space group is P4/mbm, No. 127. For the total energy, the calculation gives -29.84 eV/atom.



Record 3
Here is a crystal of Mg2AgPb relaxed with PBEsol from Alexandria. Energies are from meta-GGA SCAN.

a b c (Å): 5.430 5.430 5.220
angles (deg): 103.47 103.47 35.70
Fractional coordinates of all 4 atoms:
Mg1 0.000 0.000 0.000
Mg2 0.233 0.233 0.703
Ag1 0.500 0.500 0.547
Pb1 0.761 0.761 0.228

Results
The magnetization is 0.0 Bohr magnetons per cell. Its space group is Cm, No. 8. For the total energy, the calculation gives -29.39 eV/atom.



Record 4
Here is a crystal of MgAg2Pb relaxed with PBEsol from Alexandria. Energies are from meta-GGA SCAN.

a b c (Å): 9.525 9.525 9.525
angles (deg): 19.35 19.35 19.35
Fractional coordinates of all 4 atoms:
Mg1 0.000 0.000 0.000
Ag1 0.256 0.256 0.256
Ag2 0.744 0.744 0.744
Pb1 0.500 0.500 0.500

Results
The magnetization is 0.0 Bohr magnetons per cell. Its space group is R-3m, No. 166. For the total energy, the calculation gives -35.85 eV/atom.



Record 5
Here is a crystal of MgAg2Pb relaxed with PBEsol from Alexandria. Energies are from meta-GGA SCAN.

a b c (Å): 3.485 3.485 6.759
angles (deg): 90.00 90.00 90.00
Fractional coordinates of all 4 atoms:
Mg1 0.000 0.000 0.000
Ag1 0.000 0.000 0.578
Ag2 0.500 0.500 0.787
Pb1 0.500 0.500 0.309

Results
The magnetization is 0.0 Bohr magnetons per cell. Its space group is P4mm, No. 99. For the total energy, the calculation gives -35.92 eV/atom.



Record 6
Here is a crystal of Mg2AgPt relaxed with PBEsol from Alexandria. Energies are from meta-GGA SCAN.

a b c (Å): 5.121 5.121 4.750
angles (deg): 102.83 102.83 33.48
Fractional coordinates of all 4 atoms:
Mg1 0.000 0.000 0.000
Mg2 0.223 0.223 0.644
Ag1 0.750 0.750 0.167
Pt1 0.486 0.486 0.499

Results
The magnetization is 0.0 Bohr magnetons per cell. Its space group is Cm, No. 8. For the total energy, the calculation gives -28.45 eV/atom. The value obtained for the offset from the most stable computed form is 106 meV/atom.



Record 7
Here is a crystal of Mg2AgPt relaxed with PBEsol from Alexandria. Energies are from meta-GGA SCAN.

a b c (Å): 3.001 3.001 7.347
angles (deg): 90.00 90.00 90.00
Fractional coordinates of all 4 atoms:
Mg1 0.000 0.000 0.232
Mg2 0.000 0.000 0.768
Ag1 0.500 0.500 0.500
Pt1 0.500 0.500 0.000

Results
The magnetization is 0.0 Bohr magnetons per cell. Its space group is P4/mmm, No. 123. For the total energy, the calculation gives -28.52 eV/atom. The value obtained for the offset from the most stable computed form is 27 meV/atom.



Record 8
Here is a crystal of MgAg2Pt relaxed with PBEsol from Alexandria. Energies are from meta-GGA SCAN.

a b c (Å): 4.816 4.816 2.971
angles (deg): 90.00 90.00 109.23
Fractional coordinates of all 4 atoms:
Mg1 0.000 0.000 0.000
Ag1 0.000 0.500 0.500
Ag2 0.500 0.000 0.500
Pt1 0.500 0.500 0.000

Results
The magnetization is 0.0 Bohr magnetons per cell. Its space group is Cmmm, No. 65. For the total energy, the calculation gives -34.68 eV/atom.